No. 1
Here is an optimized crystal structure of CsHfCuTeS2 from OQMD via LeMat-Bulk. Energies are from GGA-PBE.

```
CsHfCuTeS2
1.0
1.923 -8.453 0.000
1.923 8.453 0.000
0.000 0.000 10.390
Cs Cu Hf S Te
2 2 2 4 2
Direct
0.722 0.278 0.250 Cs
0.278 0.722 0.750 Cs
0.022 0.978 0.250 Cu
0.978 0.022 0.750 Cu
0.500 0.500 0.000 Hf
0.500 0.500 0.500 Hf
0.095 0.905 0.064 S
0.095 0.905 0.436 S
0.905 0.095 0.564 S
0.905 0.095 0.936 S
0.418 0.582 0.250 Te
0.582 0.418 0.750 Te
```

- total moment (μB/f.u.) = 0.00
- crystal system = orthorhombic
- SG = Cmcm
- raw total energy (eV per formula unit) = -32.44

No. 2
Here is an optimized crystal structure of RbUBe from OQMD via LeMat-Bulk. Energies are from GGA-PBE.

```
RbUBe
1.0
0.000 3.631 3.631
3.631 0.000 3.631
3.631 3.631 0.000
Be Rb U
1 1 1
Direct
0.000 0.000 0.000 Be
0.250 0.250 0.250 Rb
0.750 0.750 0.750 U
```

- energy above the lowest structure with this stoichiometry (eV per formula unit) = 0.00
- total moment (μB/f.u.) = 4.09
- crystal system = cubic
- SG = F-43m

Question: What is the formula in the first record?
Answer: CsHfCuTeS2